(1)
LiCr2Fe (PBE, relaxed); relative energy among the computed polymorphs = 507.3 meV per atom; E_tot = -6.670 eV/atom; size of the total moment = 0.00 μB per formula unit; E_form = 735.8 meV/atom
1.0
6.408 0.000 0.000
0.000 6.408 0.000
3.204 3.204 2.384
Cr Fe Li
4 2 2
direct
0.662 0.125 0.250
0.875 0.912 0.750
0.088 0.625 0.250
0.375 0.338 0.750
0.750 0.250 0.500
0.000 0.000 0.000
0.500 0.500 0.000
0.250 0.750 0.500



(2)
LiCr2Fe (PBE, relaxed); relative energy among the computed polymorphs = 181.2 meV per atom; E_tot = -6.996 eV/atom; size of the total moment = 0.09 μB per formula unit; E_form = 409.7 meV/atom
1.0
2.449 0.000 0.000
0.000 2.449 0.000
0.000 0.000 8.105
Cr Fe Li
2 1 1
direct
0.000 0.000 0.034
0.000 0.000 0.466
0.500 0.500 0.250
0.500 0.500 0.750



(3)
Li2CrFe (PBE, relaxed); relative energy among the computed polymorphs = 580.7 meV per atom; E_tot = -4.641 eV/atom; size of the total moment = 3.83 μB per formula unit; E_form = 837.9 meV/atom
1.0
0.000 2.938 2.938
2.938 0.000 2.938
2.938 2.938 0.000
Cr Li Fe
1 2 1
direct
0.000 0.000 0.000
0.250 0.250 0.250
0.750 0.750 0.750
0.500 0.500 0.500



(4)
Li2CrFe (PBE, relaxed); relative energy among the computed polymorphs = 127.3 meV per atom; E_tot = -5.094 eV/atom; size of the total moment = 0.87 μB per formula unit; E_form = 384.5 meV/atom
1.0
5.096 -0.090 0.000
2.913 4.183 0.000
-4.004 -2.046 2.399
Fe Li Cr
1 2 1
direct
0.750 0.250 0.500
0.000 0.000 0.000
0.500 0.500 0.000
0.250 0.750 0.500



(5)
Li2CrFe (PBE, relaxed); relative energy among the computed polymorphs = 150.9 meV per atom; E_tot = -5.070 eV/atom; size of the total moment = 1.52 μB per formula unit; E_form = 408.1 meV/atom
1.0
4.197 0.000 0.000
2.098 3.634 0.000
2.098 1.211 3.426
Fe Cr Li
1 1 2
direct
0.750 0.750 0.750
0.500 0.500 0.500
0.250 0.250 0.250
0.000 0.000 0.000



(6)
Li2CrFe (PBE, relaxed); relative energy among the computed polymorphs = 590.8 meV per atom; E_tot = -4.630 eV/atom; size of the total moment = 3.80 μB per formula unit; E_form = 848.0 meV/atom
1.0
-2.535 3.597 -5.174
-5.947 0.479 3.246
-3.546 3.954 0.027
Li Cr Fe
4 2 2
direct
0.375 0.365 0.750
0.635 0.125 0.250
0.875 0.885 0.750
0.115 0.625 0.250
0.250 0.750 0.500
0.500 0.500 0.000
0.750 0.250 0.500
0.000 0.000 0.000



(7)
LiCr2Fe (PBE, relaxed); relative energy among the computed polymorphs = 109.0 meV per atom; E_tot = -7.068 eV/atom; size of the total moment = 2.74 μB per formula unit; E_form = 337.5 meV/atom
1.0
-0.085 -1.650 2.401
-2.399 -2.588 -1.863
3.259 -2.077 -1.311
Cr Li Fe
2 1 1
direct
0.000 0.000 0.000
0.500 0.500 0.000
0.000 0.500 0.500
0.500 0.000 0.500



(8)
Li2CrFe (PBE, relaxed); relative energy among the computed polymorphs = 50.4 meV per atom; E_tot = -5.171 eV/atom; size of the total moment = 0.86 μB per formula unit; E_form = 307.6 meV/atom
1.0
-2.497 -0.646 1.203
-0.770 -1.426 -2.364
2.777 -5.851 2.624
Cr Li Fe
1 2 1
direct
0.000 0.000 0.555
0.000 0.000 0.966
0.500 0.500 0.269
0.500 0.500 0.711



(9)
LiCr2Fe (PBE, relaxed); relative energy among the computed polymorphs = 148.1 meV per atom; E_tot = -7.029 eV/atom; size of the total moment = 0.15 μB per formula unit; E_form = 376.6 meV/atom
1.0
-1.994 -1.156 4.052
2.802 0.090 3.724
-1.868 2.494 -3.467
Cr Li Fe
2 1 1
direct
0.982 0.982 0.000
0.752 0.252 0.500
0.253 0.753 0.500
0.513 0.513 0.000



(10)
Li2CrFe (PBE, relaxed); relative energy among the computed polymorphs = 438.3 meV per atom; E_tot = -4.783 eV/atom; size of the total moment = 6.66 μB per formula unit; E_form = 695.4 meV/atom
1.0
4.299 0.000 0.000
0.000 4.299 0.000
0.000 0.000 3.052
Li Cr Fe
2 1 1
direct
0.500 0.500 0.000
0.000 0.000 0.000
0.500 0.000 0.500
0.000 0.500 0.500



(11)
LiCr2Fe (PBE, relaxed); relative energy among the computed polymorphs = 73.6 meV per atom; E_tot = -7.104 eV/atom; size of the total moment = 1.70 μB per formula unit; E_form = 302.2 meV/atom
1.0
-1.762 -0.383 -1.590
0.752 -2.144 0.786
-5.857 0.300 6.420
Li Cr Fe
1 2 1
direct
0.500 0.500 0.750
0.000 0.000 0.482
0.000 0.000 0.018
0.500 0.500 0.250



(12)
LiCr2Fe (PBE, relaxed); relative energy among the computed polymorphs = 105.4 meV per atom; E_tot = -7.072 eV/atom; size of the total moment = 1.39 μB per formula unit; E_form = 334.0 meV/atom
1.0
-1.858 3.483 -2.692
-1.939 -4.365 -0.120
-1.920 0.453 1.323
Cr Li Fe
2 1 1
direct
0.500 0.500 0.000
0.000 0.000 0.000
0.000 0.500 0.500
0.500 0.000 0.500



(13)
LiCr2Fe (PBE, relaxed); relative energy among the computed polymorphs = 111.7 meV per atom; E_tot = -7.066 eV/atom; size of the total moment = 0.87 μB per formula unit; E_form = 340.3 meV/atom
1.0
4.785 0.028 0.010
2.337 4.175 -0.010
-3.138 -2.819 2.259
Cr Fe Li
2 1 1
direct
0.989 0.989 0.000
0.511 0.511 0.000
0.750 0.250 0.500
0.250 0.750 0.500



(14)
LiCr2Fe (PBE, relaxed); relative energy among the computed polymorphs = 92.9 meV per atom; E_tot = -7.084 eV/atom; size of the total moment = 1.54 μB per formula unit; E_form = 321.4 meV/atom
1.0
4.150 0.000 0.000
0.000 2.366 -0.006
0.000 0.895 4.638
Cr Fe Li
2 1 1
direct
0.000 0.528 0.492
0.000 0.972 0.008
0.500 0.250 0.250
0.500 0.750 0.750



(15)
LiCr2Fe (PBE, relaxed); relative energy among the computed polymorphs = 104.0 meV per atom; E_tot = -7.073 eV/atom; size of the total moment = 0.00 μB per formula unit; E_form = 332.5 meV/atom
1.0
-7.656 -2.130 4.002
-6.578 -4.375 4.093
-6.114 -2.696 5.876
Cr Li Fe
2 1 1
direct
0.996 0.996 0.996
0.246 0.246 0.246
0.753 0.753 0.753
0.506 0.506 0.506



(16)
LiCr2Fe (PBE, relaxed); relative energy among the computed polymorphs = 256.6 meV per atom; E_tot = -6.921 eV/atom; size of the total moment = 0.00 μB per formula unit; E_form = 485.1 meV/atom
1.0
0.000 2.804 2.804
2.804 0.000 2.804
2.804 2.804 0.000
Fe Cr Li
1 2 1
direct
0.500 0.500 0.500
0.250 0.250 0.250
0.750 0.750 0.750
0.000 0.000 0.000



(17)
LiCr2Fe (PBE, relaxed); relative energy among the computed polymorphs = 87.3 meV per atom; E_tot = -7.090 eV/atom; size of the total moment = 1.44 μB per formula unit; E_form = 315.8 meV/atom
1.0
-0.763 0.548 3.895
-2.266 -0.636 -0.355
0.526 -4.702 0.765
Cr Li Fe
2 1 1
direct
0.000 0.007 0.002
0.500 0.241 0.250
0.500 0.745 0.747
0.000 0.506 0.500



(18)
LiCr2Fe (PBE, relaxed); relative energy among the computed polymorphs = 154.4 meV per atom; E_tot = -7.023 eV/atom; size of the total moment = 1.50 μB per formula unit; E_form = 383.0 meV/atom
1.0
2.353 0.000 0.000
0.000 4.062 0.000
0.000 0.000 4.762
Fe Cr Li
1 2 1
direct
0.500 0.500 0.250
0.000 0.000 0.500
0.000 0.000 0.000
0.500 0.500 0.750



(19)
LiCr2Fe (PBE, relaxed); relative energy among the computed polymorphs = 80.9 meV per atom; E_tot = -7.096 eV/atom; size of the total moment = 2.81 μB per formula unit; E_form = 309.5 meV/atom
1.0
4.048 -0.004 0.000
0.007 4.048 0.000
-2.028 -2.022 2.861
Fe Cr Li
1 2 1
direct
0.500 0.500 0.000
0.250 0.750 0.500
0.000 0.000 0.000
0.750 0.250 0.500



(20)
LiCr2Fe (PBE, relaxed); relative energy among the computed polymorphs = 109.4 meV per atom; E_tot = -7.068 eV/atom; size of the total moment = 2.67 μB per formula unit; E_form = 338.0 meV/atom
1.0
2.901 0.000 0.000
0.000 2.901 0.000
0.000 0.000 5.722
Cr Li Fe
2 1 1
direct
0.000 0.000 0.015
0.500 0.500 0.253
0.500 0.500 0.741
0.000 0.000 0.491